(1)
Sc6Co16Si7: relaxed, PBE. Values from VASP.

Quantum ESPRESSO input file:
```
&SYSTEM
  ibrav = 0, nat = 29, ntyp = 3
/
ATOMIC_SPECIES
Sc 44.96 Sc.upf
Co 58.93 Co.upf
Si 28.09 Si.upf
CELL_PARAMETERS angstrom
0.000 5.673 5.673
5.673 0.000 5.673
5.673 5.673 0.000
ATOMIC_POSITIONS crystal
Sc 0.209 0.209 0.791
Sc 0.209 0.791 0.209
Sc 0.209 0.791 0.791
Sc 0.791 0.209 0.209
Sc 0.791 0.209 0.791
Sc 0.791 0.791 0.209
Co 0.140 0.620 0.620
Co 0.173 0.173 0.173
Co 0.173 0.173 0.480
Co 0.173 0.480 0.173
Co 0.380 0.380 0.380
Co 0.380 0.380 0.860
Co 0.380 0.860 0.380
Co 0.480 0.173 0.173
Co 0.520 0.827 0.827
Co 0.620 0.140 0.620
Co 0.620 0.620 0.140
Co 0.620 0.620 0.620
Co 0.827 0.520 0.827
Co 0.827 0.827 0.520
Co 0.827 0.827 0.827
Co 0.860 0.380 0.380
Si 0.000 0.000 0.500
Si 0.000 0.500 0.000
Si 0.000 0.500 0.500
Si 0.500 0.000 0.000
Si 0.500 0.000 0.500
Si 0.500 0.500 0.000
Si 0.500 0.500 0.500
```

Results
As for the volume: 12.59 A^3/atom. Its total energy is -7.18 eV/atom. As for the space group: Fm-3m.

(2)
Sc5Co4Si10: relaxed, PBE. Values from VASP.

Quantum ESPRESSO input file:
```
&SYSTEM
  ibrav = 0, nat = 38, ntyp = 3
/
ATOMIC_SPECIES
Sc 44.96 Sc.upf
Co 58.93 Co.upf
Si 28.09 Si.upf
CELL_PARAMETERS angstrom
11.993 0.000 0.000
0.000 11.993 0.000
0.000 0.000 3.931
ATOMIC_POSITIONS crystal
Sc 0.000 0.000 0.000
Sc 0.112 0.388 0.500
Sc 0.176 0.676 0.500
Sc 0.324 0.176 0.500
Sc 0.388 0.888 0.500
Sc 0.500 0.500 0.000
Sc 0.612 0.112 0.500
Sc 0.676 0.824 0.500
Sc 0.824 0.324 0.500
Sc 0.888 0.612 0.500
Co 0.024 0.754 0.000
Co 0.246 0.024 0.000
Co 0.254 0.524 0.000
Co 0.476 0.254 0.000
Co 0.524 0.746 0.000
Co 0.746 0.476 0.000
Co 0.754 0.976 0.000
Co 0.976 0.246 0.000
Si 0.002 0.836 0.500
Si 0.068 0.568 0.000
Si 0.157 0.198 0.000
Si 0.164 0.002 0.500
Si 0.198 0.843 0.000
Si 0.302 0.343 0.000
Si 0.336 0.502 0.500
Si 0.343 0.698 0.000
Si 0.432 0.068 0.000
Si 0.498 0.336 0.500
Si 0.502 0.664 0.500
Si 0.568 0.932 0.000
Si 0.657 0.302 0.000
Si 0.664 0.498 0.500
Si 0.698 0.657 0.000
Si 0.802 0.157 0.000
Si 0.836 0.998 0.500
Si 0.843 0.802 0.000
Si 0.932 0.432 0.000
Si 0.998 0.164 0.500
```

Results
As for the volume: 14.88 A^3/atom. Its total energy is -6.76 eV/atom. As for the space group: P4/mbm.

(3)
ScCo2Si2: relaxed, PBE. Values from VASP.

Quantum ESPRESSO input file:
```
&SYSTEM
  ibrav = 0, nat = 5, ntyp = 3
/
ATOMIC_SPECIES
Sc 44.96 Sc.upf
Co 58.93 Co.upf
Si 28.09 Si.upf
CELL_PARAMETERS angstrom
-1.880 1.880 4.796
1.880 -1.880 4.796
1.880 1.880 -4.796
ATOMIC_POSITIONS crystal
Sc 0.000 0.000 0.000
Co 0.250 0.750 0.500
Co 0.750 0.250 0.500
Si 0.376 0.376 0.000
Si 0.624 0.624 0.000
```

Results
As for the volume: 13.56 A^3/atom. Its total energy is -7.07 eV/atom. As for the space group: I4/mmm.

(4)
ScCoSiTc: relaxed, PBE. Values from VASP.

Quantum ESPRESSO input file:
```
&SYSTEM
  ibrav = 0, nat = 4, ntyp = 4
/
ATOMIC_SPECIES
Sc 44.96 Sc.upf
Co 58.93 Co.upf
Si 28.09 Si.upf
Tc 98.00 Tc.upf
CELL_PARAMETERS angstrom
0.000 3.012 3.012
3.012 0.000 3.012
3.012 3.012 0.000
ATOMIC_POSITIONS crystal
Sc 0.000 0.000 0.000
Co 0.750 0.750 0.750
Si 0.500 0.500 0.500
Tc 0.250 0.250 0.250
```

Results
As for the volume: 13.66 A^3/atom. Its relative energy among the computed polymorphs is 0.0 meV per atom. As for the space group: F-43m.